1.
First-principles (PBE) data for an optimized crystal structure of ZnNiRh, as listed in Alexandria via LeMat-Bulk.

The space group is P3m1 (No. 156) and the conventional cell measures 4.1582, 4.1582 and 2.6302 Å, with angles of 90.00, 90.00 and 120.00 degrees. Symmetry generates all atoms from Zn at (0.0000, 0.0000, 0.0000), Ni at (0.3333, 0.6667, 0.0996) and Rh at (0.6667, 0.3333, 0.5603).

The energy above the most stable polymorph in this dataset comes out at 108 meV/atom. The calculation puts the formation energy at -63 meV/atom.

***

2.
First-principles (PBE) data for an optimized crystal structure of CePmSiGe, as listed in Alexandria via LeMat-Bulk.

The space group is Amm2 (No. 38) and the conventional cell measures 3.975, 4.445 and 10.922 Å, with angles of 90.00, 90.00 and 90.00 degrees. Symmetry generates all atoms from Ce at (0.000, 0.000, 0.000), Pm at (0.500, 0.000, 0.278), Si at (0.500, 0.000, 0.560) and Ge at (0.000, 0.000, 0.714).

The energy above the most stable polymorph in this dataset comes out at 0 meV/atom. The formation energy without anion corrections comes out at -733 meV/atom.

***

3.
First-principles (PBE) data for an optimized crystal structure of TiCrPd3, as listed in Alexandria via LeMat-Bulk.

The space group is Pm-3m (No. 221) and the conventional cell measures 4.631, 4.631 and 4.631 Å, with angles of 90.00, 90.00 and 90.00 degrees. Symmetry generates all atoms from Ti at (0.000, 0.000, 0.000), Cr at (0.500, 0.500, 0.500) and Pd at (0.000, 0.000, 0.500).

The energy above the most stable polymorph in this dataset comes out at 0 meV/atom. The calculation puts the formation energy at 585 meV/atom.

***

4.
First-principles (PBE) data for an optimized crystal structure of PmYCo, as listed in Alexandria via LeMat-Bulk.

The space group is P3m1 (No. 156) and the conventional cell measures 3.9350, 3.9350 and 6.2511 Å, with angles of 90.00, 90.00 and 120.00 degrees. Symmetry generates all atoms from Pm at (0.0000, 0.0000, 0.0000), Y at (0.6667, 0.3333, 0.4646) and Co at (0.3333, 0.6667, 0.2346).

The energy above the most stable polymorph in this dataset comes out at 101 meV/atom. The calculation puts the formation energy at -15 meV/atom.